This record from Alexandria describes a relaxed PbSO4 crystal. The functional is PBEsol.

## Properties
formation energy from raw total energies	-1.453	eV per atom
ρ	5.84	g/cm3
E above lowest polymorph	0.137	eV per formula unit

a b c (Å): 14.0974 5.2138 4.6907
angles (deg): 90.00 90.00 90.00
With the nearest neighbours (Å) after each atom.
Space group Pnma (No. 62)
Unique sites:
Pb1 0.0986 0.2500 0.2077 (multiplicity 4)  3 O 2.43-2.54
S1 0.1348 0.7500 0.6619 (multiplicity 4)  4 O 1.47-1.51
O1 0.0806 0.5168 0.7587 (multiplicity 8)  1 S 1.51
O2 0.1348 0.7500 0.3459 (multiplicity 4)  1 S 1.48
O3 0.2306 0.7500 0.7831 (multiplicity 4)  1 S 1.47